(1)
# Li3PO4

A crystal of Li3PO4 relaxed with PBEsol (meta-GGA SCAN, the Alexandria database).

```
data_Li3PO4
_symmetry_space_group_name_H-M 'P 1'
_symmetry_Int_Tables_number 1
_cell_length_a 4.945
_cell_length_b 6.056
_cell_length_c 10.471
_cell_angle_alpha 90.00
_cell_angle_beta 90.00
_cell_angle_gamma 90.00
loop_
_symmetry_equiv_pos_as_xyz
'x,y,z'
loop_
_atom_site_label
_atom_site_fract_x
_atom_site_fract_y
_atom_site_fract_z
Li1 0.194 0.012 0.164
Li2 0.194 0.488 0.164
Li3 0.197 0.250 0.924
Li4 0.303 0.750 0.424
Li5 0.306 0.512 0.664
Li6 0.306 0.988 0.664
Li7 0.694 0.012 0.336
Li8 0.694 0.488 0.336
Li9 0.697 0.250 0.576
Li10 0.803 0.750 0.076
Li11 0.806 0.512 0.836
Li12 0.806 0.988 0.836
P1 0.189 0.250 0.416
P2 0.311 0.750 0.916
P3 0.689 0.250 0.084
P4 0.811 0.750 0.584
O1 0.124 0.750 0.582
O2 0.204 0.750 0.056
O3 0.209 0.541 0.845
O4 0.209 0.959 0.845
O5 0.291 0.041 0.345
O6 0.291 0.459 0.345
O7 0.296 0.250 0.556
O8 0.376 0.250 0.082
O9 0.624 0.750 0.918
O10 0.704 0.750 0.444
O11 0.709 0.541 0.655
O12 0.709 0.959 0.655
O13 0.791 0.041 0.155
O14 0.791 0.459 0.155
O15 0.796 0.250 0.944
O16 0.876 0.250 0.418
```

Summary:
Total magnetization ... 0.0 μB/cell
ΔE to the lowest computed polymorph ... 17 meV per atom
Space-group type ... Pnma, No. 62
E_form (uncorrected) ... -2.63 eV per atom
DOS at the Fermi energy ... 0.00 states/eV/atom

---

(2)
# Li2PO

A crystal of Li2PO relaxed with PBEsol (meta-GGA SCAN, the Alexandria database).

```
data_Li2PO
_symmetry_space_group_name_H-M 'P 1'
_symmetry_Int_Tables_number 1
_cell_length_a 5.657
_cell_length_b 5.657
_cell_length_c 5.657
_cell_angle_alpha 90.00
_cell_angle_beta 90.00
_cell_angle_gamma 90.00
loop_
_symmetry_equiv_pos_as_xyz
'x,y,z'
loop_
_atom_site_label
_atom_site_fract_x
_atom_site_fract_y
_atom_site_fract_z
Li1 0.250 0.250 0.250
Li2 0.250 0.250 0.750
Li3 0.250 0.750 0.250
Li4 0.250 0.750 0.750
Li5 0.750 0.250 0.250
Li6 0.750 0.250 0.750
Li7 0.750 0.750 0.250
Li8 0.750 0.750 0.750
P1 0.000 0.000 0.000
P2 0.000 0.500 0.500
P3 0.500 0.000 0.500
P4 0.500 0.500 0.000
O1 0.000 0.000 0.500
O2 0.000 0.500 0.000
O3 0.500 0.000 0.000
O4 0.500 0.500 0.500
```

Summary:
Total magnetization ... 0.0 μB/cell
Space-group type ... Fm-3m, No. 225
E_form (uncorrected) ... -0.22 eV per atom
DOS at the Fermi energy ... 0.62 states/eV/atom

---

(3)
# LiPO3

A crystal of LiPO3 relaxed with PBEsol (meta-GGA SCAN, the Alexandria database).

```
data_LiPO3
_symmetry_space_group_name_H-M 'P 1'
_symmetry_Int_Tables_number 1
_cell_length_a 5.340
_cell_length_b 17.031
_cell_length_c 8.826
_cell_angle_alpha 90.00
_cell_angle_beta 117.02
_cell_angle_gamma 90.00
loop_
_symmetry_equiv_pos_as_xyz
'x,y,z'
loop_
_atom_site_label
_atom_site_fract_x
_atom_site_fract_y
_atom_site_fract_z
Li1 0.072 0.021 0.371
Li2 0.072 0.479 0.871
Li3 0.092 0.691 0.278
Li4 0.092 0.809 0.778
Li5 0.177 0.656 0.941
Li6 0.177 0.844 0.441
Li7 0.823 0.156 0.559
Li8 0.823 0.344 0.059
Li9 0.908 0.191 0.222
Li10 0.908 0.309 0.722
Li11 0.928 0.521 0.129
Li12 0.928 0.979 0.629
P1 0.386 0.191 0.907
P2 0.386 0.309 0.407
P3 0.387 0.100 0.192
P4 0.387 0.400 0.692
P5 0.498 0.063 0.721
P6 0.498 0.437 0.221
P7 0.502 0.563 0.779
P8 0.502 0.937 0.279
P9 0.613 0.600 0.308
P10 0.613 0.900 0.808
P11 0.614 0.691 0.593
P12 0.614 0.809 0.093
O1 0.135 0.218 0.751
O2 0.135 0.282 0.251
O3 0.161 0.104 0.248
O4 0.161 0.396 0.748
O5 0.187 0.059 0.605
O6 0.187 0.441 0.105
O7 0.263 0.134 0.003
O8 0.263 0.366 0.503
O9 0.305 0.566 0.857
O10 0.305 0.934 0.357
O11 0.325 0.632 0.196
O12 0.325 0.868 0.696
O13 0.407 0.747 0.469
O14 0.407 0.753 0.969
O15 0.419 0.009 0.148
O16 0.419 0.491 0.648
O17 0.428 0.633 0.646
O18 0.428 0.867 0.146
O19 0.572 0.133 0.854
O20 0.572 0.367 0.354
O21 0.581 0.509 0.352
O22 0.581 0.991 0.852
O23 0.593 0.247 0.031
O24 0.593 0.253 0.531
O25 0.675 0.132 0.304
O26 0.675 0.368 0.804
O27 0.695 0.066 0.643
O28 0.695 0.434 0.143
O29 0.737 0.634 0.497
O30 0.737 0.866 0.997
O31 0.813 0.559 0.895
O32 0.813 0.941 0.395
O33 0.839 0.604 0.252
O34 0.839 0.896 0.752
O35 0.865 0.718 0.749
O36 0.865 0.782 0.249
```

Summary:
Total magnetization ... 0.0 μB/cell
Space-group type ... P2_1/c, No. 14
E_form (uncorrected) ... -2.52 eV per atom
DOS at the Fermi energy ... 0.00 states/eV/atom

---

(4)
# Li3PO4

A crystal of Li3PO4 relaxed with PBEsol (meta-GGA SCAN, the Alexandria database).

```
data_Li3PO4
_symmetry_space_group_name_H-M 'P 1'
_symmetry_Int_Tables_number 1
_cell_length_a 6.082
_cell_length_b 5.226
_cell_length_c 4.834
_cell_angle_alpha 90.00
_cell_angle_beta 90.00
_cell_angle_gamma 90.00
loop_
_symmetry_equiv_pos_as_xyz
'x,y,z'
loop_
_atom_site_label
_atom_site_fract_x
_atom_site_fract_y
_atom_site_fract_z
Li1 0.000 0.157 0.000
Li2 0.247 0.328 0.499
Li3 0.253 0.672 0.999
Li4 0.500 0.843 0.500
Li5 0.747 0.672 0.999
Li6 0.753 0.328 0.499
P1 0.000 0.825 0.491
P2 0.500 0.175 0.991
O1 0.000 0.107 0.594
O2 0.000 0.820 0.170
O3 0.209 0.686 0.598
O4 0.291 0.314 0.098
O5 0.500 0.180 0.670
O6 0.500 0.893 0.094
O7 0.709 0.314 0.098
O8 0.791 0.686 0.598
```

Summary:
Total magnetization ... 0.0 μB/cell
ΔE to the lowest computed polymorph ... 0 meV per atom
Space-group type ... Pmn2_1, No. 31
E_form (uncorrected) ... -2.65 eV per atom
DOS at the Fermi energy ... 0.00 states/eV/atom

---

(5)
# LiP3PbO9

A crystal of LiP3PbO9 relaxed with PBEsol (meta-GGA SCAN, the Alexandria database).

```
data_LiP3PbO9
_symmetry_space_group_name_H-M 'P 1'
_symmetry_Int_Tables_number 1
_cell_length_a 6.774
_cell_length_b 7.249
_cell_length_c 7.435
_cell_angle_alpha 83.58
_cell_angle_beta 79.70
_cell_angle_gamma 82.10
loop_
_symmetry_equiv_pos_as_xyz
'x,y,z'
loop_
_atom_site_label
_atom_site_fract_x
_atom_site_fract_y
_atom_site_fract_z
Li1 0.039 0.173 0.171
Li2 0.961 0.827 0.829
P1 0.088 0.612 0.214
P2 0.268 0.843 0.439
P3 0.349 0.281 0.774
P4 0.651 0.719 0.226
P5 0.732 0.157 0.561
P6 0.912 0.388 0.786
Pb1 0.477 0.770 0.849
Pb2 0.523 0.230 0.151
O1 0.127 0.748 0.047
O2 0.146 0.407 0.200
O3 0.149 0.357 0.695
O4 0.180 0.667 0.383
O5 0.206 0.850 0.642
O6 0.235 0.011 0.309
O7 0.323 0.112 0.910
O8 0.438 0.432 0.844
O9 0.490 0.226 0.583
O10 0.510 0.774 0.417
O11 0.562 0.568 0.156
O12 0.677 0.888 0.090
O13 0.765 0.989 0.691
O14 0.794 0.150 0.358
O15 0.820 0.333 0.617
O16 0.851 0.643 0.305
O17 0.854 0.593 0.800
O18 0.873 0.252 0.953
```

Summary:
Total magnetization ... 0.0 μB/cell
Space-group type ... P-1, No. 2
E_form (uncorrected) ... -2.33 eV per atom
DOS at the Fermi energy ... 0.00 states/eV/atom

---

(6)
# Li2P2PdO7

A crystal of Li2P2PdO7 relaxed with PBEsol (meta-GGA SCAN, the Alexandria database).

```
data_Li2P2PdO7
_symmetry_space_group_name_H-M 'P 1'
_symmetry_Int_Tables_number 1
_cell_length_a 8.100
_cell_length_b 8.100
_cell_length_c 8.100
_cell_angle_alpha 133.86
_cell_angle_beta 72.73
_cell_angle_gamma 127.16
loop_
_symmetry_equiv_pos_as_xyz
'x,y,z'
loop_
_atom_site_label
_atom_site_fract_x
_atom_site_fract_y
_atom_site_fract_z
Li1 0.271 0.000 0.771
Li2 0.271 0.500 0.271
Li3 0.729 0.000 0.229
Li4 0.729 0.500 0.729
P1 0.088 0.448 0.640
P2 0.308 0.448 0.860
P3 0.692 0.552 0.140
P4 0.912 0.552 0.360
Pd1 0.500 0.000 0.000
Pd2 0.500 0.500 0.500
O1 0.096 0.346 0.750
O2 0.140 0.698 0.442
O3 0.203 0.363 0.432
O4 0.203 0.771 0.839
O5 0.244 0.302 0.942
O6 0.431 0.363 0.661
O7 0.431 0.771 0.068
O8 0.569 0.229 0.932
O9 0.569 0.637 0.339
O10 0.756 0.698 0.058
O11 0.797 0.229 0.161
O12 0.797 0.637 0.568
O13 0.860 0.302 0.558
O14 0.904 0.654 0.250
```

Summary:
Total magnetization ... 0.0 μB/cell
Space-group type ... Imma, No. 74
E_form (uncorrected) ... -2.21 eV per atom

---

What did the fourth record say?
# Li3PO4

A crystal of Li3PO4 relaxed with PBEsol (meta-GGA SCAN, the Alexandria database).

```
data_Li3PO4
_symmetry_space_group_name_H-M 'P 1'
_symmetry_Int_Tables_number 1
_cell_length_a 6.082
_cell_length_b 5.226
_cell_length_c 4.834
_cell_angle_alpha 90.00
_cell_angle_beta 90.00
_cell_angle_gamma 90.00
loop_
_symmetry_equiv_pos_as_xyz
'x,y,z'
loop_
_atom_site_label
_atom_site_fract_x
_atom_site_fract_y
_atom_site_fract_z
Li1 0.000 0.157 0.000
Li2 0.247 0.328 0.499
Li3 0.253 0.672 0.999
Li4 0.500 0.843 0.500
Li5 0.747 0.672 0.999
Li6 0.753 0.328 0.499
P1 0.000 0.825 0.491
P2 0.500 0.175 0.991
O1 0.000 0.107 0.594
O2 0.000 0.820 0.170
O3 0.209 0.686 0.598
O4 0.291 0.314 0.098
O5 0.500 0.180 0.670
O6 0.500 0.893 0.094
O7 0.709 0.314 0.098
O8 0.791 0.686 0.598
```

Summary:
Total magnetization ... 0.0 μB/cell
ΔE to the lowest computed polymorph ... 0 meV per atom
Space-group type ... Pmn2_1, No. 31
E_form (uncorrected) ... -2.65 eV per atom
DOS at the Fermi energy ... 0.00 states/eV/atom